Record 1
## AcTb2Tc (GGA-PBE)

Data for a geometry-optimized AcTb2Tc structure.

Lattice parameters (Å, degrees): 3.5806 3.5806 11.3735 80.94 80.94 60.00
Last column: nearest neighbours and their distance in Å.
Fractional coordinates of all 4 atoms:
Tc 0.5000 0.5000 0.5000  6 Tb 2.84
Ac 0.0000 0.0000 0.0000  6 Ac 3.58, 2 Tb 3.64
Tb 0.8914 0.8914 0.3258  3 Tc 2.84
Tb 0.1086 0.1086 0.6742  3 Tc 2.84

Summary:
DFT formation energy: 0.297 eV per atom
M_tot: 0.00 μB per formula unit
Space-group type: R-3m
Distance to the lowest polymorph of the same formula: 229 meV per atom

=====

Record 2
## Ac4TbTe5 (GGA-PBE)

Data for a geometry-optimized Ac4TbTe5 structure.

Lattice parameters (Å, degrees): 6.6134 8.0702 8.0702 80.33 65.81 65.81
Last column: nearest neighbours and their distance in Å.
Fractional coordinates of all 10 atoms:
Te 0.9001 0.3834 0.8180  1 Tb 3.12, 5 Ac 3.32-3.36
Te 0.1015 0.6166 0.1820  1 Tb 3.12, 5 Ac 3.32-3.36
Te 0.7181 0.1820 0.3834  1 Tb 3.12, 5 Ac 3.32-3.36
Te 0.5017 0.0000 0.0000  2 Tb 3.30-3.31, 4 Ac 3.33
Te 0.2835 0.8180 0.6166  1 Tb 3.12, 5 Ac 3.32-3.36
Ac 0.1943 0.2145 0.3985  6 Te 3.32-3.36
Ac 0.5928 0.6015 0.2145  6 Te 3.32-3.36
Ac 0.4088 0.3985 0.7855  6 Te 3.32-3.36
Ac 0.8073 0.7855 0.6015  6 Te 3.32-3.36
Tb 0.0022 0.0000 0.0000  6 Te 3.12-3.31

Summary:
M_tot: 0.00 μB per formula unit
Space-group type: I4
Formation energy without anion corrections: -1.437 eV per atom
Distance to the lowest polymorph of the same formula: 12 meV per atom

=====

Record 3
## AcTb4Te6 (GGA-PBE)

Data for a geometry-optimized AcTb4Te6 structure.

Lattice parameters (Å, degrees): 4.4006 7.5024 22.4858 90.00 90.00 107.05
Last column: nearest neighbours and their distance in Å.
Fractional coordinates of all 22 atoms:
Te 0.6721 0.3442 0.7500  2 Tb 3.09, 2 Ac 3.30
Te 0.5000 0.0000 0.5000  6 Tb 3.06-3.12
Te 0.0471 0.0942 0.1602  3 Tb 3.10-3.15, 2 Ac 3.37
Te 0.7633 0.5266 0.4069  5 Tb 3.08-3.16
Te 0.7633 0.5266 0.0931  5 Tb 3.08-3.16
Te 0.0471 0.0942 0.3398  3 Tb 3.10-3.15, 2 Ac 3.37
Te 0.9529 0.9058 0.6602  3 Tb 3.10-3.15, 2 Ac 3.37
Te 0.9529 0.9058 0.8398  3 Tb 3.10-3.15, 2 Ac 3.37
Te 0.3279 0.6558 0.2500  2 Tb 3.09, 2 Ac 3.30
Te 0.2367 0.4734 0.9069  5 Tb 3.08-3.16
Te 0.2367 0.4734 0.5931  5 Tb 3.08-3.16
Te 0.5000 0.0000 0.0000  6 Tb 3.06-3.12
Tb 0.1441 0.2882 0.4654  6 Te 3.08-3.16
Tb 0.5933 0.1866 0.8778  6 Te 3.06-3.10
Tb 0.4067 0.8134 0.1222  6 Te 3.06-3.10
Tb 0.1441 0.2882 0.0346  6 Te 3.08-3.16
Tb 0.5933 0.1866 0.6222  6 Te 3.06-3.10
Tb 0.8559 0.7118 0.9654  6 Te 3.08-3.16
Tb 0.4067 0.8134 0.3778  6 Te 3.06-3.10
Tb 0.8559 0.7118 0.5346  6 Te 3.08-3.16
Ac 0.6562 0.3124 0.2500  6 Te 3.30-3.37
Ac 0.3438 0.6876 0.7500  6 Te 3.30-3.37

Summary:
M_tot: 0.00 μB per formula unit
Space-group type: Cmcm
Formation energy without anion corrections: -1.427 eV per atom

=====

> Which value of M_tot does entry 2 give?

0.00 μB per formula unit